Entry 1:
AgSbS2: relaxed, GGA-PBE.

- V (Å³ per cell) = 396
- formation energy without anion corrections (eV/atom) = -0.190
- E_tot (eV per atom) = -3.997

a = 6.889 Å, b = 6.889 Å, c = 13.271 Å
α = 98.38°, β = 98.38°, γ = 39.55°
Fractional coordinates of all 16 atoms:
Ag 0.000 0.000 0.000
Ag 0.000 0.000 0.500
Ag 0.498 0.502 0.750
Ag 0.502 0.498 0.250
Sb 0.219 0.273 0.374
Sb 0.273 0.219 0.874
Sb 0.727 0.781 0.126
Sb 0.781 0.727 0.626
S 0.008 0.703 0.802
S 0.197 0.584 0.085
S 0.297 0.992 0.698
S 0.416 0.803 0.415
S 0.584 0.197 0.585
S 0.703 0.008 0.302
S 0.803 0.416 0.915
S 0.992 0.297 0.198

Entry 2:
Ag2Sb2S: relaxed, GGA-PBE.

- V (Å³ per cell) = 231
- formation energy without anion corrections (eV/atom) = 0.211
- E_tot (eV per atom) = -3.404

a = 7.860 Å, b = 7.860 Å, c = 3.742 Å
α = 90.00°, β = 90.00°, γ = 90.00°
Fractional coordinates of all 10 atoms:
Ag 0.122 0.378 0.000
Ag 0.378 0.878 0.000
Ag 0.622 0.122 0.000
Ag 0.878 0.622 0.000
Sb 0.189 0.689 0.500
Sb 0.311 0.189 0.500
Sb 0.689 0.811 0.500
Sb 0.811 0.311 0.500
S 0.000 0.000 0.500
S 0.500 0.500 0.500

Entry 3:
Ag5SbS4: relaxed, GGA-PBE.

- V (Å³ per cell) = 214
- formation energy without anion corrections (eV/atom) = -0.010
- E_tot (eV per atom) = -3.499

a = 8.346 Å, b = 8.346 Å, c = 7.396 Å
α = 116.21°, β = 116.21°, γ = 27.83°
Fractional coordinates of all 10 atoms:
Ag 0.000 0.000 0.000
Ag 0.321 0.321 0.055
Ag 0.321 0.321 0.585
Ag 0.679 0.679 0.415
Ag 0.679 0.679 0.945
Sb 0.000 0.000 0.500
S 0.192 0.192 0.692
S 0.500 0.500 0.238
S 0.500 0.500 0.762
S 0.808 0.808 0.308

Entry 4:
AgSb4S5: relaxed, GGA-PBE.

- V (Å³ per cell) = 248
- formation energy without anion corrections (eV/atom) = -0.005
- E_tot (eV per atom) = -4.003

a = 7.218 Å, b = 7.218 Å, c = 7.218 Å
α = 98.66°, β = 98.66°, γ = 134.33°
Fractional coordinates of all 10 atoms:
Ag 0.000 0.000 0.000
Sb 0.217 0.607 0.816
Sb 0.401 0.217 0.610
Sb 0.607 0.791 0.390
Sb 0.791 0.401 0.184
S 0.180 0.310 0.391
S 0.310 0.919 0.130
S 0.525 0.525 0.000
S 0.789 0.180 0.870
S 0.919 0.789 0.609

Which of these has the lowest formation energy without anion corrections?
AgSbS2